Record 1
The following is a PBE calculation of a geometry-optimized MgAgMo2 structure, from Alexandria via LeMat-Bulk.

Values from the calculation:
**E_form**: 0.250 eV/atom
**Density**: 7.74 Mg/m³
**E**: -6.2775 eV per atom

Geometry as CIF:
```
data_MgAgMo2
_symmetry_space_group_name_H-M 'P 4 m m'
_symmetry_Int_Tables_number 99
_cell_length_a 3.264
_cell_length_b 3.264
_cell_length_c 6.528
_cell_angle_alpha 90.00
_cell_angle_beta 90.00
_cell_angle_gamma 90.00
loop_
_symmetry_equiv_pos_as_xyz
'x,y,z'
'-y,x,z'
'-x,-y,z'
'y,-x,z'
'-x,y,z'
'y,x,z'
'x,-y,z'
'-y,-x,z'
loop_
_atom_site_label
_atom_site_fract_x
_atom_site_fract_y
_atom_site_fract_z
_atom_site_occupancy
Mg1 0.000 0.000 0.000 1
Ag1 0.500 0.500 0.759 1
Mo1 0.000 0.000 0.466 1
Mo2 0.500 0.500 0.282 1
```

=====

Record 2
The following is a PBE calculation of a geometry-optimized CsZnP structure, from Alexandria via LeMat-Bulk.

Values from the calculation:
**E_form**: -0.375 eV/atom
**Density**: 3.86 Mg/m³
**E**: -2.8873 eV per atom

Geometry as CIF:
```
data_CsZnP
_symmetry_space_group_name_H-M 'P n m a'
_symmetry_Int_Tables_number 62
_cell_length_a 8.274
_cell_length_b 4.155
_cell_length_c 11.487
_cell_angle_alpha 90.00
_cell_angle_beta 90.00
_cell_angle_gamma 90.00
loop_
_symmetry_equiv_pos_as_xyz
'x,y,z'
'-x,-y,-z'
'-x+1/2,-y,z+1/2'
'x+1/2,y,-z+1/2'
'x+1/2,-y+1/2,-z+1/2'
'-x+1/2,y+1/2,z+1/2'
'-x,y+1/2,-z'
'x,-y+1/2,z'
loop_
_atom_site_label
_atom_site_fract_x
_atom_site_fract_y
_atom_site_fract_z
_atom_site_occupancy
Cs1 0.015 0.250 0.179 1
Zn1 0.097 0.250 0.501 1
P1 0.193 0.750 0.430 1
```

=====

Record 3
The following is a PBE calculation of a geometry-optimized Ni2Pt structure, from Alexandria via LeMat-Bulk.

Values from the calculation:
**E_form**: 0.420 eV/atom
**Density**: 11.12 Mg/m³
**E**: -5.4481 eV per atom

Geometry as CIF:
```
data_Ni2Pt
_symmetry_space_group_name_H-M 'F m -3 m'
_symmetry_Int_Tables_number 225
_symmetry_space_group_name_Hall '-F 4 2 3'
_cell_length_a 5.715
_cell_length_b 5.715
_cell_length_c 5.715
_cell_angle_alpha 90.00
_cell_angle_beta 90.00
_cell_angle_gamma 90.00
loop_
_atom_site_label
_atom_site_fract_x
_atom_site_fract_y
_atom_site_fract_z
_atom_site_occupancy
Ni1 0.250 0.250 0.250 1
Pt1 0.000 0.000 0.000 1
```

=====

Record 4
The following is a PBE calculation of a geometry-optimized SrBe2Pb structure, from Alexandria via LeMat-Bulk.

Values from the calculation:
**E_form**: 0.110 eV/atom
**Density**: 5.87 Mg/m³
**E**: -3.1002 eV per atom

Geometry as CIF:
```
data_SrBe2Pb
_symmetry_space_group_name_H-M 'R 3 m'
_symmetry_Int_Tables_number 160
_symmetry_space_group_name_Hall 'R 3 -2"'
_cell_length_a 4.0315
_cell_length_b 4.0315
_cell_length_c 18.8491
_cell_angle_alpha 90.00
_cell_angle_beta 90.00
_cell_angle_gamma 120.00
loop_
_atom_site_label
_atom_site_fract_x
_atom_site_fract_y
_atom_site_fract_z
_atom_site_occupancy
Sr1 0.0000 0.0000 0.0000 1
Be1 0.0000 0.0000 0.4518 1
Be2 0.0000 0.0000 0.7843 1
Pb1 0.0000 0.0000 0.1940 1
```

=====

Which of these has the lowest density?
CsZnP